VASP calculation (GGA-PBE) on a relaxed SmBe17Re crystal.

Cell: 7.5037 7.5037 10.9339 Å, 90.00 90.00 120.00°
Space group R3m (No. 160, hexagonal axes)
One atom of each set of equivalent atoms:
Sm (0.0000, 0.0000, 0.0000) (multiplicity 3)
Be (0.0000, 0.0000, 0.5572) (multiplicity 3)
Be (0.0000, 0.0000, 0.7491) (multiplicity 3)
Be (0.0013, 0.5006, 0.1589) (multiplicity 9)
Be (0.0474, 0.3728, 0.3267) (multiplicity 18)
Be (0.1709, 0.3418, 0.1513) (multiplicity 9)
Be (0.1718, 0.3435, 0.8383) (multiplicity 9)
Re (0.0000, 0.0000, 0.3264) (multiplicity 3)

Energy (eV/atom): -4.296